# 1
Computed, not measured: a relaxed structure of Zr2MnHgN at the PBE-GGA level of DFT.

Cell lengths 5.1220, 5.1220, 3.5132 Å; angles 90.00, 90.00, 90.00 degrees
Last column: nearest neighbours and their distance in Å.
Space group P4/mmm (No. 123)
One atom of each set of equivalent atoms:
Zr: 0.0000 0.5000 0.0000 [2 per cell]  2 Mn 2.56
Mn: 0.0000 0.0000 0.0000 [1 per cell]  2 N 1.76
Hg: 0.5000 0.5000 0.5000 [1 per cell]  8 Zr 3.11
N: 0.0000 0.0000 0.5000 [1 per cell]  2 Mn 1.76

Output
**Relative energy among the computed polymorphs**: 0.8221 eV/atom
**Formation energy from raw total energies**: 1.0 eV/f.u.


# 2
Computed, not measured: a relaxed structure of NaMn2Hg at the PBE-GGA level of DFT.

Cell lengths 7.8361, 7.8361, 5.6594 Å; angles 90.00, 90.00, 90.00 degrees
Last column: nearest neighbours and their distance in Å.
Space group I-42d (No. 122)
One atom of each set of equivalent atoms:
Na: 0.0000 0.0000 0.0000 [4 per cell]  2 Hg 2.83, 4 Mn 3.01
Mn: 0.2224 0.2500 0.6250 [8 per cell]  2 Hg 2.72, 2 Mn 2.86, 2 Na 3.01
Hg: 0.0000 0.0000 0.5000 [4 per cell]  4 Mn 2.72, 2 Na 2.83

Output
**E_form**: 725 meV/atom


# 3
Computed, not measured: a relaxed structure of NaMn3Hg at the PBE-GGA level of DFT.

Cell lengths 4.8068, 4.8068, 4.8068 Å; angles 90.00, 90.00, 90.00 degrees
Last column: nearest neighbours and their distance in Å.
Space group Pm-3m (No. 221)
One atom of each set of equivalent atoms:
Na: 0.0000 0.0000 0.0000 [1 per cell]  6 Mn 2.40
Mn: 0.0000 0.0000 0.5000 [3 per cell]  2 Na 2.40
Hg: 0.5000 0.5000 0.5000 [1 per cell]  12 Mn 3.40

Output
**Relative energy among the computed polymorphs**: 0.5624 eV/atom
**E_form**: 1577 meV/atom


# 4
Computed, not measured: a relaxed structure of Na3MnHg at the PBE-GGA level of DFT.

Cell lengths 5.6647, 5.6647, 5.6647 Å; angles 90.00, 90.00, 90.00 degrees
Last column: nearest neighbours and their distance in Å.
Space group Pm-3m (No. 221)
One atom of each set of equivalent atoms:
Na: 0.0000 0.0000 0.5000 [3 per cell]  2 Hg 2.83
Mn: 0.5000 0.5000 0.5000 [1 per cell]  12 Na 4.01
Hg: 0.0000 0.0000 0.0000 [1 per cell]  6 Na 2.83

Output
**Relative energy among the computed polymorphs**: 0.0000 eV/atom
**E_form**: 572 meV/atom


# 5
Computed, not measured: a relaxed structure of NaMn2Hg2 at the PBE-GGA level of DFT.

Cell lengths 3.1430, 3.1430, 19.4213 Å; angles 90.00, 90.00, 90.00 degrees
Last column: nearest neighbours and their distance in Å.
Space group I4/mmm (No. 139)
One atom of each set of equivalent atoms:
Na: 0.0000 0.0000 0.0000 [2 per cell]  4 Na 3.14, 8 Hg 3.27
Mn: 0.0000 0.5000 0.2500 [4 per cell]  4 Mn 2.22
Hg: 0.0000 0.0000 0.3766 [4 per cell]  4 Mn 2.92, 4 Hg 3.14

Output
**Relative energy among the computed polymorphs**: 0.1543 eV/atom
**E_form**: 402 meV/atom


# 6
Computed, not measured: a relaxed structure of NaMnHg3 at the PBE-GGA level of DFT.

Cell lengths 5.2475, 5.2475, 5.2475 Å; angles 90.00, 90.00, 90.00 degrees
Last column: nearest neighbours and their distance in Å.
Space group Pm-3m (No. 221)
One atom of each set of equivalent atoms:
Na: 0.0000 0.0000 0.0000 [1 per cell]  12 Hg 3.71
Mn: 0.5000 0.5000 0.5000 [1 per cell]  6 Hg 2.62
Hg: 0.0000 0.5000 0.5000 [3 per cell]  2 Mn 2.62

Output
**Relative energy among the computed polymorphs**: 0.0000 eV/atom
**E_form**: 187 meV/atom